# 1
NaZnIBr2 after structural relaxation. Source: Alexandria via LeMat-Bulk, functional PBE.

As for the formation energy (no corrections): -0.81 eV per atom.

The structure belongs to space group P4/mmm (No. 123); the cell edges are 5.180, 5.180 and 5.850 Å and the angles 90.00°, 90.00° and 90.00°. Symmetry generates all atoms from Na at (0.000, 0.000, 0.000), Zn at (0.500, 0.500, 0.500), I at (0.500, 0.500, 0.000) and Br at (0.000, 0.500, 0.500).

***

# 2
OsPd3Pt12 after structural relaxation. Source: Alexandria via LeMat-Bulk, functional PBE.

The formation enthalpy at 0 K is 0.00 eV/atom.

The structure belongs to space group P4/mmm (No. 123); the cell edges are 3.950, 3.950 and 15.868 Å and the angles 90.00°, 90.00° and 90.00°. Symmetry generates all atoms from Os at (0.000, 0.000, 0.000), Pd at (0.000, 0.000, 0.248), Pd at (0.000, 0.000, 0.500), Pt at (0.000, 0.500, 0.121), Pt at (0.000, 0.500, 0.374), Pt at (0.500, 0.500, 0.000), Pt at (0.500, 0.500, 0.249) and Pt at (0.500, 0.500, 0.500).

***

# 3
SrZnCu2 after structural relaxation. Source: Alexandria via LeMat-Bulk, functional PBE.

The formation enthalpy at 0 K is 0.10 eV/atom.

The structure belongs to space group P2/m (No. 10); the cell edges are 3.485, 4.205 and 5.912 Å and the angles 90.00°, 100.86° and 90.00°. Symmetry generates all atoms from Sr at (0.000, 0.000, 0.000), Zn at (0.500, 0.000, 0.500) and Cu at (0.302, 0.500, 0.658).

***

# 4
CdTeO2F after structural relaxation. Source: Alexandria via LeMat-Bulk, functional PBE.

As for the formation energy (no corrections): -0.78 eV per atom.

The structure belongs to space group P4/mmm (No. 123); the cell edges are 4.211, 4.211 and 4.570 Å and the angles 90.00°, 90.00° and 90.00°. Symmetry generates all atoms from Cd at (0.000, 0.000, 0.000), Te at (0.500, 0.500, 0.500), O at (0.000, 0.500, 0.500) and F at (0.500, 0.500, 0.000).

***

# 5
LiHf2Zr2Pd5 after structural relaxation. Source: Alexandria via LeMat-Bulk, functional PBE.

The formation enthalpy at 0 K is -0.38 eV/atom.

The structure belongs to space group P4/mbm (No. 127); the cell edges are 10.698, 10.698 and 3.262 Å and the angles 90.00°, 90.00° and 90.00°. Symmetry generates all atoms from Li at (0.000, 0.000, 0.000), Hf at (0.145, 0.355, 0.000), Zr at (0.163, 0.663, 0.000), Pd at (0.000, 0.500, 0.500) and Pd at (0.017, 0.201, 0.500).

***

# 6
Tb2HgPd after structural relaxation. Source: Alexandria via LeMat-Bulk, functional PBE.

The calculation puts the offset from the most stable computed form at 0 meV per atom. The formation enthalpy at 0 K is -0.68 eV/atom.

The structure belongs to space group P4/mmm (No. 123); the cell edges are 3.604, 3.604 and 7.372 Å and the angles 90.00°, 90.00° and 90.00°. Symmetry generates all atoms from Tb at (0.000, 0.000, 0.230), Hg at (0.500, 0.500, 0.500) and Pd at (0.500, 0.500, 0.000).

***

# 7
LaSc2NbC after structural relaxation. Source: Alexandria via LeMat-Bulk, functional PBE.

The calculation puts the offset from the most stable computed form at 0 meV per atom. The formation enthalpy at 0 K is 0.85 eV/atom.

The structure belongs to space group P4/mmm (No. 123); the cell edges are 5.234, 5.234 and 4.353 Å and the angles 90.00°, 90.00° and 90.00°. Symmetry generates all atoms from La at (0.000, 0.000, 0.000), Sc at (0.000, 0.500, 0.500), Nb at (0.500, 0.500, 0.500) and C at (0.500, 0.500, 0.000).

***

# 8
LiPmPr2Te5 after structural relaxation. Source: Alexandria via LeMat-Bulk, functional PBE.

As for the formation energy (no corrections): -1.34 eV per atom.

The structure belongs to space group Cmc2_1 (No. 36); the cell edges are 4.462, 18.949 and 13.356 Å and the angles 90.00°, 90.00° and 90.00°. Symmetry generates all atoms from Li at (0.000, 0.055, 0.000), Pm at (0.000, 0.301, 0.543), Pr at (0.000, 0.375, 0.837), Pr at (0.000, 0.394, 0.220), Te at (0.000, 0.001, 0.317), Te at (0.000, 0.135, 0.533), Te at (0.000, 0.186, 0.878), Te at (0.000, 0.216, 0.206) and Te at (0.000, 0.453, 0.608).